[1]
VASP calculation (PBE) on a geometry-optimized ReP2Au structure.

Cell: 7.6027 7.6027 2.9795 Å, 91.60 91.60 22.31°
Closest atoms and distances in Å follow each position.
Fractional coordinates of all 4 atoms:
Re: 0.0000 0.0000 0.0000  8 P 2.46-2.62
P: 0.4058 0.4058 0.4496  1 Au 2.40, 4 Re 2.46-2.59
P: 0.5981 0.5981 0.4745  4 Re 2.49-2.62, 2 Au 2.65
Au: 0.2453 0.2453 0.4503  3 P 2.40-2.65

Output
Offset from the most stable computed form = 0.000 eV per atom
M_tot = 0.00 μB per atom
Energy of formation from the pure elements = -0.0321 eV per atom



[2]
VASP calculation (PBE) on a geometry-optimized RePAu structure.

Cell: 4.0804 4.0804 4.0804 Å, 60.00 60.00 60.00°
Closest atoms and distances in Å follow each position.
Fractional coordinates of all 3 atoms:
Re: 0.0000 0.0000 0.0000  4 P 2.50
P: 0.2500 0.2500 0.2500  4 Re 2.50, 4 Au 2.50
Au: 0.5000 0.5000 0.5000  4 P 2.50

Output
Offset from the most stable computed form = 0.223 eV per atom
M_tot = 0.00 μB per atom
Energy of formation from the pure elements = 0.3776 eV per atom



[3]
VASP calculation (PBE) on a geometry-optimized RePAu2 structure.

Cell: 4.4969 4.4969 4.4969 Å, 60.00 60.00 60.00°
Closest atoms and distances in Å follow each position.
Fractional coordinates of all 4 atoms:
Re: 0.0000 0.0000 0.0000  4 P 2.75, 4 Au 2.75
P: 0.7500 0.7500 0.7500  4 Au 2.75, 4 Re 2.75
Au: 0.2500 0.2500 0.2500  4 Au 2.75, 4 Re 2.75
Au: 0.5000 0.5000 0.5000  4 Au 2.75, 4 P 2.75

Output
M_tot = 0.00 μB per atom
Energy of formation from the pure elements = 0.6526 eV per atom



[4]
VASP calculation (PBE) on a geometry-optimized RePAu4 structure.

Cell: 5.4472 5.4472 5.4472 Å, 60.00 60.00 60.00°
Closest atoms and distances in Å follow each position.
Fractional coordinates of all 6 atoms:
Re: 0.0000 0.0000 0.0000  12 Au 3.19, 4 P 3.34
P: 0.2500 0.2500 0.2500  12 Au 3.19, 4 Re 3.34
Au: 0.1246 0.6251 0.6251  6 Au 2.72-2.73
Au: 0.6251 0.1246 0.6251  6 Au 2.72-2.73
Au: 0.6251 0.6251 0.1246  6 Au 2.72-2.73
Au: 0.6251 0.6251 0.6251  6 Au 2.72-2.73

Output
M_tot = 0.61 μB per atom
Energy of formation from the pure elements = 0.9759 eV per atom



> Look up the M_tot of the third one.

0.00 μB per atom



What did the second record say?
VASP calculation (PBE) on a geometry-optimized RePAu structure.

Cell: 4.0804 4.0804 4.0804 Å, 60.00 60.00 60.00°
Closest atoms and distances in Å follow each position.
Fractional coordinates of all 3 atoms:
Re: 0.0000 0.0000 0.0000  4 P 2.50
P: 0.2500 0.2500 0.2500  4 Re 2.50, 4 Au 2.50
Au: 0.5000 0.5000 0.5000  4 P 2.50

Output
Offset from the most stable computed form = 0.223 eV per atom
M_tot = 0.00 μB per atom
Energy of formation from the pure elements = 0.3776 eV per atom



> The highest M_tot belongs to which entry?

RePAu4